The following is a PBE-GGA calculation of a geometry-optimized Pm2Sn6Ge structure, from the Alexandria database.

abc: 8.446 8.446 7.028
angles: 105.39 105.39 30.42
Fractional positions:
Pm 0.068 0.068 0.298
Pm 0.932 0.932 0.702
Sn 0.162 0.162 0.943
Sn 0.277 0.277 0.654
Sn 0.415 0.415 0.347
Sn 0.585 0.585 0.653
Sn 0.723 0.723 0.346
Sn 0.838 0.838 0.057
Ge 0.500 0.500 0.000

Properties
Space-group type: No. 12
Total magnetic moment in Bohr magnetons per cell: 0.00
Total energy in eV per atom: -4.615
E_form in eV/atom: -0.378